Material: SrFeOs
Method: DFT, PBE
State: optimized geometry

Results
VASP energy = -6.64 eV/atom
Energy relative to the elements = 0.480 eV per atom
Magnetic moment = 0.000 μB per formula unit

a b c (Å): 11.025 4.152 7.358
angles (deg): 90.00 131.61 90.00
Space group Cm (No. 8)
Inequivalent atoms, fractional coordinates:
Sr (0.000, 0.000, 0.000) (multiplicity 2)
Sr (0.133, 0.000, 0.634) (multiplicity 2)
Fe (0.246, 0.500, 0.395) (multiplicity 2)
Fe (0.248, 0.500, 0.102) (multiplicity 2)
Os (0.379, 0.000, 0.542) (multiplicity 2)
Os (0.381, 0.000, 0.220) (multiplicity 2)